Record 1
The following is a GGA-PBE calculation of a geometry-optimized DyMg2Pb structure, from Alexandria via LeMat-Bulk.

Summary:
SG = Pmmn (59)
magnetic moment = 0.00 μB/f.u.
excess energy over the best structure of this formula in the dataset = 95.4 meV per atom
E_form = -0.8 eV per formula unit
VASP energy = -3.081 eV per atom

```
DyMg2Pb
1.0
4.871 0.000 0.000
0.000 6.259 0.000
0.000 0.000 6.744
Dy Mg Pb
2 4 2
Cartesian
0.000 0.000 2.649
2.436 3.130 4.095
0.000 1.604 5.848
0.000 4.655 5.848
2.436 1.525 0.896
2.436 4.734 0.896
0.000 3.130 2.072
2.436 0.000 4.673
```



Record 2
The following is a GGA-PBE calculation of a geometry-optimized Ac4Ru2N structure, from Alexandria via LeMat-Bulk.

Summary:
SG = I4/mmm (139)
formation energy from raw total energies = -147.3 kJ/mol of formula units
magnetic moment = 0.00 μB/f.u.
VASP energy = -6.405 eV per atom

```
Ac4Ru2N
1.0
5.305 0.000 0.000
0.000 5.305 0.000
-2.653 -2.653 6.906
Ru Ac N
2 4 1
Cartesian
2.653 2.653 1.557
0.000 0.000 5.349
2.653 2.653 4.280
0.000 0.000 2.626
0.000 2.653 0.000
2.653 0.000 0.000
0.000 0.000 0.000
```



Record 3
The following is a GGA-PBE calculation of a geometry-optimized Ce8IrRu2 structure, from Alexandria via LeMat-Bulk.

Summary:
SG = C2/m (12)
magnetic moment = 2.52 μB/f.u.
excess energy over the best structure of this formula in the dataset = 31.5 meV per atom
E_form = -2.7 eV per formula unit
VASP energy = -7.049 eV per atom

```
Ce8IrRu2
1.0
-4.815 -2.907 0.996
4.685 -5.594 -1.529
0.986 3.317 6.603
Ce Ir Ru
8 1 2
Cartesian
-1.215 -3.150 0.759
-2.024 -1.202 2.537
1.328 -1.363 2.098
-2.989 -1.579 5.805
-0.936 -6.526 1.291
-0.437 -3.835 4.004
2.915 -3.996 3.564
2.106 -2.047 5.342
-4.797 -2.914 1.011
1.199 -4.416 1.393
-0.309 -0.782 4.709
```



Record 4
The following is a GGA-PBE calculation of a geometry-optimized La4Nd3In2 structure, from Alexandria via LeMat-Bulk.

Summary:
SG = C2/m (12)
magnetic moment = 0.00 μB/f.u.
excess energy over the best structure of this formula in the dataset = 0.0 meV per atom
E_form = -2.1 eV per formula unit
VASP energy = -4.624 eV per atom

```
La4Nd3In2
1.0
4.835 0.000 1.035
2.174 5.609 1.658
0.230 0.051 10.741
La Nd In
4 3 2
Cartesian
4.458 3.105 2.798
5.688 1.977 8.866
1.551 3.684 4.568
2.781 2.556 10.636
3.433 4.476 7.587
0.000 0.000 0.000
3.806 1.184 5.847
1.911 0.597 2.884
5.327 5.063 10.550
```



Record 5
The following is a GGA-PBE calculation of a geometry-optimized Sm6SbP4 structure, from Alexandria via LeMat-Bulk.

Summary:
SG = Cmcm (63)
formation energy from raw total energies = -1490.5 kJ/mol of formula units
magnetic moment = 0.56 μB/f.u.
VASP energy = -6.320 eV per atom

```
Sm6SbP4
1.0
4.160 0.000 0.000
-2.080 6.767 0.000
0.000 0.000 20.866
Sm Sb P
12 2 8
Cartesian
2.080 0.000 0.000
2.080 0.000 10.433
0.000 0.533 7.135
2.080 6.233 13.731
2.080 6.233 17.568
0.000 0.533 3.298
2.080 3.688 8.741
0.000 3.079 12.125
0.000 3.079 19.174
2.080 3.688 1.692
0.000 4.499 5.217
2.080 2.268 15.650
2.080 2.181 5.217
0.000 4.586 15.650
2.080 4.910 11.300
0.000 5.510 2.609
0.000 1.857 9.566
2.080 1.256 18.257
2.080 4.910 19.999
0.000 1.857 0.867
2.080 1.256 13.042
0.000 5.510 7.824
```



Record 6
The following is a GGA-PBE calculation of a geometry-optimized K4PI2 structure, from Alexandria via LeMat-Bulk.

Summary:
SG = I4/mmm (139)
formation energy from raw total energies = -535.9 kJ/mol of formula units
magnetic moment = 1.02 μB/f.u.
VASP energy = -2.636 eV per atom

```
K4PI2
1.0
6.042 0.000 0.000
0.000 6.042 0.000
3.021 3.021 9.261
I P K
2 1 4
Cartesian
3.021 3.021 2.626
6.042 6.042 6.635
0.000 0.000 0.000
3.021 3.021 6.101
6.042 6.042 3.160
0.000 3.021 0.000
3.021 0.000 0.000
```



Record 7
The following is a GGA-PBE calculation of a geometry-optimized InAs5 structure, from Alexandria via LeMat-Bulk.

Summary:
SG = F-43m (216)
magnetic moment = 0.00 μB/f.u.
excess energy over the best structure of this formula in the dataset = 311.8 meV per atom
E_form = 2.7 eV per formula unit
VASP energy = -3.882 eV per atom

```
InAs5
1.0
4.462 -2.735 2.216
-0.233 -1.971 5.326
-0.282 -5.597 0.949
In As
1 5
Cartesian
0.000 0.000 0.000
0.987 -2.576 2.123
2.451 -6.396 5.271
2.587 -3.691 4.812
0.294 -5.074 4.200
2.564 -5.443 2.697
```



Record 8
The following is a GGA-PBE calculation of a geometry-optimized AcSmRu structure, from Alexandria via LeMat-Bulk.

Summary:
SG = P4/nmm (129)
magnetic moment = 0.00 μB/f.u.
excess energy over the best structure of this formula in the dataset = 24.0 meV per atom
E_form = -0.5 eV per formula unit
VASP energy = -6.204 eV per atom

```
AcSmRu
1.0
4.892 -0.236 -0.015
0.236 4.892 -0.015
0.024 0.023 7.150
Ac Sm Ru
2 2 2
Cartesian
4.197 4.059 3.825
1.628 1.726 2.140
4.088 1.622 6.557
1.760 4.186 6.557
4.188 4.049 1.067
1.637 1.735 4.898
```



Record 9
The following is a GGA-PBE calculation of a geometry-optimized GeBRu2 structure, from Alexandria via LeMat-Bulk.

Summary:
SG = P4/mmm (123)
magnetic moment = 0.00 μB/f.u.
excess energy over the best structure of this formula in the dataset = 262.6 meV per atom
E_form = 0.5 eV per formula unit
VASP energy = -7.335 eV per atom

```
GeBRu2
1.0
-2.098 1.324 1.531
-1.535 -3.627 1.032
2.373 -0.063 3.307
Ru Ge B
2 1 1
Cartesian
1.187 -0.032 1.654
-0.767 -1.813 0.516
-1.049 0.662 0.766
-0.630 -1.183 2.935
```



Record 10
The following is a GGA-PBE calculation of a geometry-optimized PuThTcIr structure, from Alexandria via LeMat-Bulk.

Summary:
SG = F-43m (216)
magnetic moment = 4.56 μB/f.u.
E_form = -1.0 eV per formula unit
VASP energy = -10.494 eV per atom

```
PuThTcIr
1.0
4.936 0.000 0.000
2.468 4.275 0.000
2.468 1.425 4.030
Ir Tc Th Pu
1 1 1 1
Cartesian
2.468 1.425 1.008
7.404 4.275 3.023
4.936 2.850 2.015
0.000 0.000 0.000
```



Record 11
The following is a GGA-PBE calculation of a geometry-optimized KSr3C4O12 structure, from Alexandria via LeMat-Bulk.

Summary:
SG = R32 (155)
formation energy from raw total energies = -3944.4 kJ/mol of formula units
magnetic moment = 1.12 μB/f.u.
VASP energy = -7.171 eV per atom

```
KSr3C4O12
1.0
-5.400 -4.399 -0.253
1.730 -0.511 6.732
-3.350 6.112 0.018
K Sr C O
1 3 4 12
Cartesian
0.000 0.000 0.000
-2.032 -2.562 3.047
-4.319 1.146 -0.110
-0.670 2.618 3.560
-6.897 -1.245 -0.068
-2.537 5.593 3.377
-1.098 -2.544 6.438
-3.511 0.601 3.249
-4.127 1.404 2.435
-4.338 -3.640 3.140
-0.633 2.170 6.067
-5.560 3.273 0.539
-0.991 -1.270 6.600
-3.525 5.156 2.673
-6.432 -2.012 0.858
-1.808 -3.033 5.479
-1.793 4.783 4.049
-6.516 -0.018 -0.166
-3.759 -0.674 3.216
-2.646 1.073 4.096
```



Record 12
The following is a GGA-PBE calculation of a geometry-optimized Tc2SbSe2 structure, from Alexandria via LeMat-Bulk.

Summary:
SG = I4/mmm (139)
formation energy from raw total energies = 160.5 kJ/mol of formula units
magnetic moment = 0.00 μB/f.u.
excess energy over the best structure of this formula in the dataset = 74.7 meV per atom
VASP energy = -6.032 eV per atom

```
Tc2SbSe2
1.0
4.191 0.000 0.000
0.000 4.191 0.000
2.095 2.095 5.483
Sb Tc Se
1 2 2
Cartesian
0.000 0.000 0.000
2.095 2.095 1.243
4.191 4.191 4.240
4.191 2.095 2.741
2.095 4.191 2.741
```



Record 13
The following is a GGA-PBE calculation of a geometry-optimized TbNd4 structure, from Alexandria via LeMat-Bulk.

Summary:
SG = R-3m (166)
magnetic moment = 0.00 μB/f.u.
excess energy over the best structure of this formula in the dataset = 0.0 meV per atom
E_form = 0.1 eV per formula unit
VASP energy = -4.730 eV per atom

```
TbNd4
1.0
-3.421 -0.946 -0.893
-1.600 -2.857 1.635
-6.943 7.770 10.870
Tb Nd
1 4
Cartesian
0.000 0.000 0.000
-3.778 2.340 4.489
-8.186 1.627 7.124
-4.383 -0.759 2.583
-7.581 4.726 9.029
```



Record 14
The following is a GGA-PBE calculation of a geometry-optimized Nd4Ho9Er11 structure, from Alexandria via LeMat-Bulk.

Summary:
SG = Cmmm (65)
magnetic moment = 0.08 μB/f.u.
E_form = 1.4 eV per formula unit
VASP energy = -4.542 eV per atom

```
Nd4Ho9Er11
1.0
3.672 0.000 0.000
0.000 13.800 -5.833
0.000 0.059 14.982
Nd Ho Er
4 9 11
Cartesian
1.836 7.689 8.071
1.836 6.170 1.077
1.836 10.444 3.898
1.836 3.415 5.251
1.836 8.763 -1.272
1.836 5.096 10.421
1.836 2.274 8.558
1.836 11.585 0.591
1.836 10.935 9.398
1.836 2.924 -0.249
1.836 12.939 6.362
1.836 0.920 2.787
1.836 6.930 4.574
0.000 8.239 10.858
0.000 5.620 -1.709
0.000 13.222 3.309
0.000 0.637 5.840
0.000 8.801 1.740
0.000 5.058 7.409
0.000 11.614 -2.521
0.000 2.245 11.670
0.000 0.000 0.000
0.000 9.894 6.532
0.000 3.965 2.617
```